First-principles (PBE-GGA) data for an optimized crystal structure of Cs2DyTlF6, as listed in Alexandria.

Density of states at the Fermi level (states/eV/atom): 0.0000
ΔE_f (raw) (eV/f.u.): -31.3
DFT total energy (eV for the cell shown): -51.2

Lattice parameters (Å, degrees): 6.924 6.924 6.924 60.00 60.00 60.00
Atoms (fractional coordinates):
Cs 0.750 0.750 0.750
Cs 0.250 0.250 0.250
Dy 0.000 0.000 0.000
Tl 0.500 0.500 0.500
F 0.223 0.777 0.777
F 0.223 0.777 0.223
F 0.223 0.223 0.777
F 0.777 0.777 0.223
F 0.777 0.223 0.223
F 0.777 0.223 0.777